DFT (GGA-PBEsol) results for an optimized crystal structure of LiCo5O3F5.

Computed properties:
SG: No. 8
E_form (uncorrected) in eV per formula unit: -18.268

```
LiCo5O3F5
1.0
5.209 -2.773 0.000
5.209 2.773 0.000
-3.267 0.000 5.031
Li Co O F
1 5 3 5
Direct
0.000 0.000 0.000
0.007 0.007 0.510
0.335 0.335 0.033
0.523 0.979 0.501
0.679 0.679 0.934
0.979 0.523 0.501
0.226 0.226 0.666
0.766 0.766 0.743
0.786 0.786 0.303
0.240 0.240 0.251
0.255 0.747 0.236
0.260 0.757 0.771
0.747 0.255 0.236
0.757 0.260 0.771
```